--- A ---
VASP calculation (PBE) on a relaxed structure of Tm7Zr2Sc2.

Output
V: 613.95 Å³/cell

Cell lengths 9.194, 8.609, 18.939 Å; angles 104.68, 103.64, 141.85 degrees
Fractional positions:
Tm (0.544, 0.186, 0.298)
Tm (0.061, 0.369, 0.127)
Tm (0.579, 0.573, 0.428)
Tm (0.942, 0.238, 0.275)
Tm (0.318, 0.662, 0.843)
Tm (0.205, 0.889, 0.579)
Tm (0.591, 0.587, 0.929)
Tm (0.409, 0.413, 0.071)
Tm (0.795, 0.111, 0.421)
Tm (0.682, 0.338, 0.157)
Tm (0.058, 0.762, 0.725)
Tm (0.421, 0.427, 0.572)
Tm (0.939, 0.631, 0.873)
Tm (0.456, 0.814, 0.702)
Zr (0.151, 0.097, 0.173)
Zr (0.143, 0.192, 0.677)
Zr (0.857, 0.808, 0.323)
Zr (0.849, 0.903, 0.827)
Sc (0.623, 0.976, 0.563)
Sc (0.206, 0.559, 0.992)
Sc (0.794, 0.441, 0.008)
Sc (0.377, 0.024, 0.437)

---

--- B ---
VASP calculation (PBE) on a relaxed structure of Tm7Zr2Sc2.

Output
V: 309.75 Å³/cell

Cell lengths 8.199, 6.240, 6.240 Å; angles 93.49, 80.72, 80.72 degrees
Fractional positions:
Tm (0.191, 0.105, 0.473)
Tm (0.809, 0.527, 0.895)
Tm (0.809, 0.895, 0.527)
Tm (0.191, 0.473, 0.105)
Tm (0.000, 0.000, 0.000)
Tm (0.419, 0.839, 0.839)
Tm (0.581, 0.161, 0.161)
Zr (0.836, 0.374, 0.374)
Zr (0.164, 0.626, 0.626)
Sc (0.500, 0.326, 0.674)
Sc (0.500, 0.674, 0.326)

---

So which one wins? Going from most stable to least: B, A.

---

--- A ---
VASP calculation (PBE) on a relaxed structure of TmZr3Sc3.

Output
V: 344.61 Å³/cell

Cell lengths 5.209, 8.740, 8.740 Å; angles 120.00, 90.00, 90.00 degrees
Fractional positions:
Tm (0.250, 0.667, 0.333)
Tm (0.750, 0.333, 0.667)
Zr (0.750, 0.187, 0.959)
Zr (0.750, 0.772, 0.813)
Zr (0.250, 0.959, 0.772)
Zr (0.750, 0.041, 0.228)
Zr (0.250, 0.228, 0.187)
Zr (0.250, 0.813, 0.041)
Sc (0.750, 0.461, 0.373)
Sc (0.750, 0.912, 0.539)
Sc (0.250, 0.373, 0.912)
Sc (0.750, 0.627, 0.088)
Sc (0.250, 0.088, 0.461)
Sc (0.250, 0.539, 0.627)

---

--- B ---
VASP calculation (PBE) on a relaxed structure of TmZr3Sc3.

Output
V: 344.99 Å³/cell

Cell lengths 5.974, 5.973, 15.214 Å; angles 89.09, 64.39, 49.72 degrees
Fractional positions:
Tm (0.620, 0.660, 0.013)
Tm (0.380, 0.340, 0.987)
Zr (0.825, 0.404, 0.193)
Zr (0.596, 0.063, 0.155)
Zr (0.051, 0.744, 0.231)
Zr (0.949, 0.256, 0.769)
Zr (0.404, 0.937, 0.845)
Zr (0.175, 0.596, 0.807)
Sc (0.042, 0.117, 0.358)
Sc (0.288, 0.466, 0.393)
Sc (0.508, 0.811, 0.434)
Sc (0.492, 0.189, 0.566)
Sc (0.712, 0.534, 0.607)
Sc (0.958, 0.883, 0.642)

---

So which one wins? Going from most stable to least: A, B.

---

--- A ---
VASP calculation (PBE) on a relaxed structure of Tm2ZrSc2.

Output
V: 267.06 Å³/cell

Cell lengths 5.867, 5.867, 9.195 Å; angles 101.57, 101.57, 114.64 degrees
Fractional positions:
Tm (0.796, 0.796, 0.555)
Tm (0.268, 0.268, 0.858)
Tm (0.732, 0.732, 0.142)
Tm (0.204, 0.204, 0.445)
Zr (0.201, 0.799, 0.000)
Zr (0.799, 0.201, 0.000)
Sc (0.256, 0.665, 0.306)
Sc (0.744, 0.335, 0.694)
Sc (0.665, 0.256, 0.306)
Sc (0.335, 0.744, 0.694)

---

--- B ---
VASP calculation (PBE) on a relaxed structure of Tm2ZrSc2.

Output
V: 530.48 Å³/cell

Cell lengths 8.198, 8.841, 8.355 Å; angles 90.00, 118.83, 90.00 degrees
Fractional positions:
Tm (0.497, 0.330, 0.997)
Tm (0.997, 0.170, 0.997)
Tm (0.003, 0.830, 0.003)
Tm (0.503, 0.670, 0.003)
Tm (0.946, 0.694, 0.324)
Tm (0.446, 0.806, 0.324)
Tm (0.554, 0.194, 0.676)
Tm (0.054, 0.306, 0.676)
Zr (0.445, 0.158, 0.270)
Zr (0.555, 0.842, 0.730)
Zr (0.945, 0.342, 0.270)
Zr (0.055, 0.658, 0.730)
Sc (0.717, 0.015, 0.132)
Sc (0.217, 0.485, 0.132)
Sc (0.783, 0.515, 0.868)
Sc (0.283, 0.985, 0.868)
Sc (0.665, 0.473, 0.424)
Sc (0.165, 0.027, 0.424)
Sc (0.835, 0.973, 0.576)
Sc (0.335, 0.527, 0.576)

---

So which one wins? Going from most stable to least: B, A.

---

--- A ---
VASP calculation (PBE) on a relaxed structure of Tm6ZrSc2.

Output
V: 503.82 Å³/cell

Cell lengths 5.750, 9.644, 9.644 Å; angles 71.93, 83.75, 83.75 degrees
Fractional positions:
Tm (0.477, 0.687, 0.421)
Tm (0.023, 0.579, 0.313)
Tm (0.523, 0.313, 0.579)
Tm (0.977, 0.421, 0.687)
Tm (0.661, 0.067, 0.360)
Tm (0.839, 0.640, 0.933)
Tm (0.339, 0.933, 0.640)
Tm (0.161, 0.360, 0.067)
Tm (0.302, 0.782, 0.003)
Tm (0.198, 0.997, 0.218)
Tm (0.698, 0.218, 0.997)
Tm (0.802, 0.003, 0.782)
Zr (0.250, 0.135, 0.865)
Zr (0.750, 0.865, 0.135)
Sc (0.417, 0.570, 0.770)
Sc (0.083, 0.230, 0.430)
Sc (0.583, 0.430, 0.230)
Sc (0.917, 0.770, 0.570)

---

--- B ---
VASP calculation (PBE) on a relaxed structure of Tm6ZrSc2.

Output
V: 253.39 Å³/cell

Cell lengths 3.468, 8.721, 9.445 Å; angles 117.50, 90.00, 90.00 degrees
Fractional positions:
Tm (0.000, 0.482, 0.328)
Tm (0.000, 0.154, 0.672)
Tm (0.000, 0.518, 0.672)
Tm (0.500, 0.309, 0.000)
Tm (0.000, 0.846, 0.328)
Tm (0.500, 0.691, 0.000)
Zr (0.000, 0.000, 0.000)
Sc (0.500, 0.825, 0.650)
Sc (0.500, 0.175, 0.350)

---

So which one wins? Going from most stable to least: A, B.

---

--- A ---
VASP calculation (PBE) on a relaxed structure of Tm4ZrSc5.

Output
V: 264.08 Å³/cell

Cell lengths 3.317, 10.687, 11.143 Å; angles 136.77, 98.56, 90.00 degrees
Fractional positions:
Tm (0.395, 0.085, 0.789)
Tm (0.091, 0.380, 0.181)
Tm (0.605, 0.915, 0.211)
Tm (0.909, 0.620, 0.819)
Zr (0.500, 0.000, 0.000)
Sc (0.809, 0.198, 0.618)
Sc (0.796, 0.708, 0.593)
Sc (0.204, 0.292, 0.407)
Sc (0.500, 0.500, 0.000)
Sc (0.191, 0.802, 0.382)

---

--- B ---
VASP calculation (PBE) on a relaxed structure of Tm4ZrSc5.

Output
V: 274.81 Å³/cell

Cell lengths 5.517, 7.577, 7.577 Å; angles 82.38, 68.65, 68.65 degrees
Fractional positions:
Tm (0.443, 0.319, 0.681)
Tm (0.762, 0.681, 0.681)
Tm (0.125, 0.319, 0.319)
Tm (0.443, 0.681, 0.319)
Zr (0.216, 0.000, 0.000)
Sc (0.773, 0.371, 0.000)
Sc (0.143, 0.000, 0.629)
Sc (0.773, 0.000, 0.371)
Sc (0.143, 0.629, 0.000)
Sc (0.689, 0.000, 0.000)

---

So which one wins? Going from most stable to least: A, B.

---

--- A ---
VASP calculation (PBE) on a relaxed structure of TmZrSc4.

Output
V: 150.17 Å³/cell

Cell lengths 3.325, 5.181, 8.874 Å; angles 90.01, 100.78, 90.00 degrees
Fractional positions:
Tm (0.615, 0.003, 0.476)
Zr (0.393, 0.503, 0.031)
Sc (0.284, 0.003, 0.815)
Sc (0.944, 0.003, 0.134)
Sc (0.052, 0.503, 0.350)
Sc (0.731, 0.503, 0.706)

---

--- B ---
VASP calculation (PBE) on a relaxed structure of TmZrSc4.

Output
V: 307.32 Å³/cell

Cell lengths 5.997, 8.399, 7.787 Å; angles 113.02, 100.22, 112.64 degrees
Fractional positions:
Tm (0.336, 0.586, 0.173)
Tm (0.664, 0.414, 0.827)
Zr (0.247, 0.997, 0.994)
Zr (0.753, 0.003, 0.006)
Sc (0.035, 0.160, 0.742)
Sc (0.750, 0.716, 0.621)
Sc (0.207, 0.581, 0.742)
Sc (0.371, 0.905, 0.621)
Sc (0.629, 0.095, 0.379)
Sc (0.793, 0.419, 0.258)
Sc (0.250, 0.284, 0.379)
Sc (0.965, 0.840, 0.258)

---

So which one wins? Going from most stable to least: A, B.